{"formula": "SbW2Se", "functional": "GGA-PBEsol", "state": "relaxed", "density_g_cm3": 13.1, "raw_formation_energy_ev_per_fu": 3.514, "e_above_lowest_polymorph_ev_per_atom": 0.705, "energy_ev_per_atom": -8.127, "cell": [[-3.277, -0.947, -0.387], [0.982, -2.989, 3.424], [-0.115, 5.080, 1.560]], "species": ["Sb", "Se", "W", "W"], "frac_coords": [[0.500, 0.000, 0.000], [0.000, 0.500, 0.000], [0.000, 0.000, 0.500], [0.500, 0.500, 0.500]]}